Entry 1:
DFT (GGA-PBE) results for crystalline SiPt2Au at its relaxed geometry.

Computed properties:
* ΔE_f (raw): -0.3210 eV/atom
* space group: I-42d, No. 122

Lattice parameters (Å, degrees): 7.0296 7.0296 5.6519 51.55 51.55 90.00
Fractional coordinates of all 8 atoms:
Pt: 0.1766 0.6250 0.2500
Pt: 0.8750 0.8234 0.7500
Pt: 0.5734 0.1250 0.2500
Pt: 0.3750 0.4266 0.7500
Au: 0.0000 0.0000 0.0000
Au: 0.7500 0.2500 0.5000
Si: 0.5000 0.5000 0.0000
Si: 0.2500 0.7500 0.5000

---

Entry 2:
DFT (GGA-PBE) results for crystalline Rb2CeNiS4 at its relaxed geometry.

Computed properties:
* ΔE_f (raw): -1.0450 eV/atom
* space group: I-4, No. 82

Lattice parameters (Å, degrees): 6.6942 6.6942 6.6942 103.32 112.63 112.63
Each line ends with the local moment (μB).
Fractional coordinates of all 8 atoms:
S: 0.3945 0.8200 0.7243  0.00
S: 0.9043 0.5746 0.1800  0.00
S: 0.0957 0.2757 0.6702  0.00
S: 0.6055 0.3298 0.4254  0.00
Rb: 0.0000 0.0000 0.0000  0.00
Rb: 0.5000 0.7500 0.2500  0.00
Ce: 0.5000 0.2500 0.7500  -0.08
Ni: 0.0000 0.5000 0.5000  0.01

---

Entry 3:
DFT (GGA-PBE) results for crystalline CePrLuAg at its relaxed geometry.

Computed properties:
* energy of formation from the pure elements: 143 meV per atom
* space group: F-43m, No. 216

Lattice parameters (Å, degrees): 5.3456 5.3456 5.3456 60.00 60.00 60.00
Each line ends with the local moment (μB).
Fractional coordinates of all 4 atoms:
Lu: 0.0000 0.0000 0.0000  0.43
Ag: 0.2500 0.2500 0.2500  0.03
Ce: 0.7500 0.7500 0.7500  1.18
Pr: 0.5000 0.5000 0.5000  0.28

---

Entry 4:
DFT (GGA-PBE) results for crystalline BaIr2Au at its relaxed geometry.

Computed properties:
* energy of formation from the pure elements: 843 meV per atom
* space group: Fm-3m, No. 225

Lattice parameters (Å, degrees): 4.8839 4.8839 4.8839 60.00 60.00 60.00
Fractional coordinates of all 4 atoms:
Ir: 0.2500 0.2500 0.2500
Ir: 0.7500 0.7500 0.7500
Ba: 0.0000 0.0000 0.0000
Au: 0.5000 0.5000 0.5000

---

Entry 5:
DFT (GGA-PBE) results for crystalline MnFe2Te6 at its relaxed geometry.

Computed properties:
* ΔE_f (raw): -0.0968 eV/atom
* space group: P-3m1, No. 164

Lattice parameters (Å, degrees): 5.5317 11.3212 11.3212 120.00 90.00 90.00
Each line ends with the local moment (μB).
Fractional coordinates of all 27 atoms:
Te: 0.7671 0.4431 0.2216  -0.03
Te: 0.2329 0.2216 0.4431  -0.03
Te: 0.2804 0.5514 0.1028  -0.05
Te: 0.7520 0.1185 0.2370  -0.07
Te: 0.7196 0.1028 0.5514  -0.05
Te: 0.7520 0.1185 0.8815  -0.07
Te: 0.2329 0.5569 0.7784  -0.03
Te: 0.7671 0.7784 0.5569  -0.03
Te: 0.7671 0.7784 0.2216  -0.03
Te: 0.2480 0.8815 0.1185  -0.07
Te: 0.2804 0.8972 0.4486  -0.05
Te: 0.7196 0.4486 0.5514  -0.05
Te: 0.2480 0.8815 0.7630  -0.07
Te: 0.2480 0.2370 0.1185  -0.07
Te: 0.2804 0.5514 0.4486  -0.05
Te: 0.7520 0.7630 0.8815  -0.07
Te: 0.7196 0.4486 0.8972  -0.05
Te: 0.2329 0.2216 0.7784  -0.03
Mn: 0.4877 0.3333 0.6667  1.51
Mn: 0.0000 0.0000 0.0000  3.34
Mn: 0.5123 0.6667 0.3333  1.51
Fe: 0.0000 0.6524 0.6524  0.70
Fe: 0.0000 0.6524 0.0000  0.70
Fe: 0.0000 0.3476 0.0000  0.70
Fe: 0.0000 0.0000 0.3476  0.70
Fe: 0.0000 0.3476 0.3476  0.70
Fe: 0.0000 0.0000 0.6524  0.70

---

Entry 6:
DFT (GGA-PBE) results for crystalline LuMgSc2 at its relaxed geometry.

Computed properties:
* energy of formation from the pure elements: 4 meV per atom
* space group: P4/mmm, No. 123

Lattice parameters (Å, degrees): 3.3506 3.3506 9.0153 90.00 90.00 90.00
Fractional coordinates of all 4 atoms:
Mg: 0.5000 0.5000 0.0000
Sc: 0.0000 0.0000 0.2402
Sc: 0.0000 0.0000 0.7598
Lu: 0.5000 0.5000 0.5000

---

Entry 7:
DFT (GGA-PBE) results for crystalline SmYHo2S6 at its relaxed geometry.

Computed properties:
* ΔE_f (raw): -2.0544 eV/atom
* space group: R3, No. 146

Lattice parameters (Å, degrees): 6.9427 6.9428 7.3664 61.88 61.88 59.99
Fractional coordinates of all 10 atoms:
S: 0.6170 0.2222 0.2483
S: 0.2221 0.9124 0.2483
S: 0.4029 0.7210 0.7493
S: 0.9125 0.6171 0.2483
S: 0.1268 0.4029 0.7493
S: 0.7211 0.1267 0.7493
Ho: 0.5169 0.5168 0.4496
Ho: 0.0148 0.0149 0.9556
Sm: 0.8121 0.8122 0.5634
Y: 0.3154 0.3154 0.0538

---

Entry 8:
DFT (GGA-PBE) results for crystalline Tm4Cu3Ru at its relaxed geometry.

Computed properties:
* energy of formation from the pure elements: -356 meV per atom
* space group: P4/mmm, No. 123

Lattice parameters (Å, degrees): 3.3870 3.3870 13.7669 90.00 90.00 90.00
Fractional coordinates of all 8 atoms:
Tm: 0.0000 0.0000 0.1193
Tm: 0.0000 0.0000 0.3731
Tm: 0.0000 0.0000 0.6269
Tm: 0.0000 0.0000 0.8807
Cu: 0.5000 0.5000 0.2500
Cu: 0.5000 0.5000 0.5000
Cu: 0.5000 0.5000 0.7500
Ru: 0.5000 0.5000 0.0000

---

Entry 9:
DFT (GGA-PBE) results for crystalline Li3Ga7Cu2 at its relaxed geometry.

Computed properties:
* energy of formation from the pure elements: -129 meV per atom
* space group: P2/m, No. 10

Lattice parameters (Å, degrees): 3.8674 4.0784 13.4384 98.02 90.00 90.00
Fractional coordinates of all 12 atoms:
Cu: 0.5000 0.3457 0.7328
Cu: 0.5000 0.6543 0.2672
Ga: 0.0000 0.4030 0.8460
Ga: 0.5000 0.0996 0.1579
Ga: 0.5000 0.2751 0.5543
Ga: 0.5000 0.9004 0.8421
Ga: 0.0000 0.5970 0.1540
Ga: 0.5000 0.7249 0.4457
Ga: 0.0000 0.0000 0.0000
Li: 0.5000 0.5000 0.0000
Li: 0.0000 0.8151 0.6523
Li: 0.0000 0.1849 0.3477

---

Entry 10:
DFT (GGA-PBE) results for crystalline La2TcAs2H4 at its relaxed geometry.

Computed properties:
* space group: I4/mmm, No. 139

Lattice parameters (Å, degrees): 5.7562 5.7562 5.7562 94.36 117.51 117.51
Fractional coordinates of all 9 atoms:
Tc: 0.0000 0.0000 0.0000
La: 0.5000 0.7500 0.2500
La: 0.5000 0.2500 0.7500
As: 0.0000 0.3176 0.3176
As: 0.0000 0.6824 0.6824
H: 0.4224 0.2112 0.2112
H: 0.0000 0.2112 0.7888
H: 0.5776 0.7888 0.7888
H: 0.0000 0.7888 0.2112

---

Entry 11:
DFT (GGA-PBE) results for crystalline NaLaS2 at its relaxed geometry.

Computed properties:
* ΔE_f (raw): -1.7849 eV/atom
* space group: P4/mmm, No. 123

Lattice parameters (Å, degrees): 4.2011 4.2011 5.6609 90.00 90.00 90.00
Fractional coordinates of all 4 atoms:
Na: 0.0000 0.0000 0.0000
S: 0.0000 0.0000 0.5000
S: 0.5000 0.5000 0.0000
La: 0.5000 0.5000 0.5000

---

Entry 12:
DFT (GGA-PBE) results for crystalline Nb2TlRu at its relaxed geometry.

Computed properties:
* energy of formation from the pure elements: 431 meV per atom
* space group: Fm-3m, No. 225

Lattice parameters (Å, degrees): 4.6936 4.6936 4.6936 60.00 60.00 60.00
Fractional coordinates of all 4 atoms:
Tl: 0.5000 0.5000 0.5000
Nb: 0.2500 0.2500 0.2500
Nb: 0.7500 0.7500 0.7500
Ru: 0.0000 0.0000 0.0000

---

| no. | VASP energy (eV per atom) |
| --- | --- |
| 1 | -5.517 |
| 2 | -4.815 |
| 3 | -4.378 |
| 4 | -4.888 |
| 5 | -5.091 |
| 6 | -4.691 |
| 7 | -6.565 |
| 8 | -5.288 |
| 9 | -3.055 |
| 10 | -5.217 |
| 11 | -5.410 |
| 12 | -7.514 |